Record 1
A plane-wave DFT calculation with PBE-GGA was carried out for a geometry-optimized Tb3HoCu2 structure.

Results
Symmetry   Pmc2_1 (26)
Total energy   -55.2 eV per cell
Formation enthalpy at 0 K   -0.159 eV/atom

Cell lengths 4.9235, 6.8716, 8.7345 Å; angles 90.00, 90.00, 90.00 degrees
Last column: nearest neighbours and their distance in Å.
Element x y z (fractional)
Tb (0.0000, 0.4877, 0.9238)  3 Cu 2.85-3.08
Tb (0.0000, 0.9877, 0.0762)  3 Cu 2.85-3.08
Tb (0.5000, 0.6447, 0.1641)  4 Cu 2.79-3.05
Tb (0.5000, 0.1447, 0.8359)  4 Cu 2.79-3.05
Tb (0.0000, 0.3553, 0.3363)  4 Cu 2.79-3.04
Tb (0.0000, 0.8553, 0.6637)  4 Cu 2.79-3.04
Ho (0.5000, 0.5127, 0.5743)  3 Cu 2.83-3.08
Ho (0.5000, 0.0127, 0.4257)  3 Cu 2.83-3.08
Cu (0.5000, 0.7383, 0.8455)  6 Tb 2.79-3.08, 1 Ho 2.83
Cu (0.5000, 0.2383, 0.1545)  6 Tb 2.79-3.08, 1 Ho 2.83
Cu (0.0000, 0.2614, 0.6510)  5 Tb 2.79-3.05, 2 Ho 3.08
Cu (0.0000, 0.7614, 0.3490)  5 Tb 2.79-3.05, 2 Ho 3.08


Record 2
A plane-wave DFT calculation with PBE-GGA was carried out for a geometry-optimized TbHo2Cu9 structure.

Results
Symmetry   R-3m (166)
Total energy   -53.1 eV per cell
Formation enthalpy at 0 K   -0.207 eV/atom

Cell lengths 5.1499, 5.1499, 8.8220 Å; angles 73.03, 73.03, 60.00 degrees
Last column: nearest neighbours and their distance in Å.
Element x y z (fractional)
Tb (0.0000, 0.0000, 0.0000)  18 Cu 2.97-3.29
Ho (0.8586, 0.8586, 0.4242)  12 Cu 2.97-3.11, 3 Ho 3.23
Ho (0.1414, 0.1414, 0.5758)  12 Cu 2.97-3.11, 3 Ho 3.23
Cu (0.6676, 0.6676, 0.9972)  6 Cu 2.51-2.55
Cu (0.3324, 0.3324, 0.0028)  6 Cu 2.51-2.55
Cu (0.5000, 0.5000, 0.5000)  6 Cu 2.58
Cu (0.4178, 0.4178, 0.2466)  7 Cu 2.51-2.58
Cu (0.9178, 0.4178, 0.2466)  7 Cu 2.51-2.58
Cu (0.4178, 0.9178, 0.2466)  7 Cu 2.51-2.58
Cu (0.5822, 0.5822, 0.7534)  7 Cu 2.51-2.58
Cu (0.5822, 0.0822, 0.7534)  7 Cu 2.51-2.58
Cu (0.0822, 0.5822, 0.7534)  7 Cu 2.51-2.58


Record 3
A plane-wave DFT calculation with PBE-GGA was carried out for a geometry-optimized Tb5HoCu6 structure.

Results
Symmetry   P2/m (10)
Total energy   -55.3 eV per cell
Formation enthalpy at 0 K   -0.246 eV/atom

Cell lengths 4.9409, 6.8983, 7.8195 Å; angles 90.00, 71.43, 90.00 degrees
Last column: nearest neighbours and their distance in Å.
Element x y z (fractional)
Tb (0.6670, 0.5000, 0.6659)  8 Cu 3.02-3.03
Tb (0.3336, 0.0000, 0.3327)  8 Cu 3.00-3.03
Tb (0.0000, 0.5000, 0.0000)  8 Cu 3.00-3.02
Tb (0.6664, 0.0000, 0.6673)  8 Cu 3.00-3.03
Tb (0.3330, 0.5000, 0.3341)  8 Cu 3.02-3.03
Ho (0.0000, 0.0000, 0.0000)  8 Cu 2.99-3.00
Cu (0.8348, 0.7509, 0.3306)  1 Ho 2.99, 7 Tb 3.00-3.03
Cu (0.8348, 0.2491, 0.3306)  1 Ho 2.99, 7 Tb 3.00-3.03
Cu (0.5001, 0.2471, 0.0000)  6 Tb 3.00-3.03, 2 Ho 3.00
Cu (0.4999, 0.7529, 0.0000)  6 Tb 3.00-3.03, 2 Ho 3.00
Cu (0.1652, 0.7509, 0.6694)  1 Ho 2.99, 7 Tb 3.00-3.03
Cu (0.1652, 0.2491, 0.6694)  1 Ho 2.99, 7 Tb 3.00-3.03


Record 4
A plane-wave DFT calculation with PBE-GGA was carried out for a geometry-optimized Tb3HoCu2 structure.

Results
Symmetry   Ibam (72)
Total energy   -53.0 eV per cell
Formation enthalpy at 0 K   0.023 eV/atom

Cell lengths 6.7922, 7.1907, 8.3444 Å; angles 115.52, 114.02, 90.00 degrees
Last column: nearest neighbours and their distance in Å.
Element x y z (fractional)
Tb (0.5000, 0.2500, 0.0000)  4 Cu 2.97
Tb (0.5000, 0.7500, 0.0000)  4 Cu 2.97
Tb (0.7665, 0.0165, 0.5330)  4 Cu 2.84-2.95
Tb (0.2335, 0.4835, 0.4670)  4 Cu 2.84-2.95
Tb (0.2335, 0.9835, 0.4670)  4 Cu 2.84-2.95
Tb (0.7665, 0.5165, 0.5330)  4 Cu 2.84-2.95
Ho (0.0000, 0.5000, 0.0000)  2 Cu 2.74
Ho (0.0000, 0.0000, 0.0000)  2 Cu 2.74
Cu (0.5669, 0.3591, 0.7182)  1 Ho 2.74, 6 Tb 2.84-2.97
Cu (0.8488, 0.1409, 0.2818)  1 Ho 2.74, 6 Tb 2.84-2.97
Cu (0.1512, 0.8591, 0.7182)  1 Ho 2.74, 6 Tb 2.84-2.97
Cu (0.4331, 0.6409, 0.2818)  1 Ho 2.74, 6 Tb 2.84-2.97


Record 5
A plane-wave DFT calculation with PBE-GGA was carried out for a geometry-optimized Tb2Ho3Cu3 structure.

Results
Symmetry   Immm (71)
Total energy   -36.5 eV per cell
Formation enthalpy at 0 K   -0.149 eV/atom

Cell lengths 3.5365, 5.0707, 10.8651 Å; angles 103.49, 99.37, 90.00 degrees
Last column: nearest neighbours and their distance in Å.
Element x y z (fractional)
Tb (0.2740, 0.7740, 0.5480)  2 Cu 2.93, 4 Tb 3.25
Tb (0.7260, 0.2260, 0.4520)  2 Cu 2.93, 4 Tb 3.25
Ho (0.3847, 0.3847, 0.7693)  6 Cu 2.98-3.09
Ho (0.6153, 0.6153, 0.2307)  6 Cu 2.98-3.09
Ho (0.5000, 0.0000, 0.0000)  8 Cu 2.96-3.09
Cu (0.8863, 0.8863, 0.7725)  2 Tb 2.93, 6 Ho 2.96-3.09
Cu (0.0000, 0.5000, 0.0000)  8 Ho 2.98-3.09
Cu (0.1137, 0.1137, 0.2275)  2 Tb 2.93, 6 Ho 2.96-3.09


Record 6
A plane-wave DFT calculation with PBE-GGA was carried out for a geometry-optimized TbHo3Cu structure.

Results
Symmetry   Pm-3m (221)
Total energy   -21.9 eV per cell
Formation enthalpy at 0 K   0.117 eV/atom

Cell lengths 5.3433, 5.3433, 5.3433 Å; angles 90.00, 90.00, 90.00 degrees
Last column: nearest neighbours and their distance in Å.
Element x y z (fractional)
Tb (0.5000, 0.5000, 0.5000)  12 Ho 3.78
Ho (0.0000, 0.5000, 0.0000)  2 Cu 2.67
Ho (0.0000, 0.0000, 0.5000)  2 Cu 2.67
Ho (0.5000, 0.0000, 0.0000)  2 Cu 2.67
Cu (0.0000, 0.0000, 0.0000)  6 Ho 2.67


Record 7
A plane-wave DFT calculation with PBE-GGA was carried out for a geometry-optimized Tb2HoCu9 structure.

Results
Symmetry   R-3m (166)
Total energy   -53.1 eV per cell
Formation enthalpy at 0 K   -0.197 eV/atom

Cell lengths 5.1461, 5.1461, 8.8635 Å; angles 73.12, 73.12, 60.00 degrees
Last column: nearest neighbours and their distance in Å.
Element x y z (fractional)
Tb (0.8592, 0.8592, 0.4225)  12 Cu 2.97-3.15, 3 Tb 3.24
Tb (0.1408, 0.1408, 0.5775)  12 Cu 2.97-3.15, 3 Tb 3.24
Ho (0.0000, 0.0000, 0.0000)  18 Cu 2.97-3.29
Cu (0.6677, 0.6677, 0.9970)  6 Cu 2.51-2.54
Cu (0.3323, 0.3323, 0.0030)  6 Cu 2.51-2.54
Cu (0.5000, 0.5000, 0.5000)  6 Cu 2.60
Cu (0.4187, 0.4187, 0.2447)  7 Cu 2.51-2.60
Cu (0.9180, 0.4187, 0.2447)  7 Cu 2.51-2.60
Cu (0.4187, 0.9180, 0.2447)  7 Cu 2.51-2.60
Cu (0.5813, 0.5813, 0.7553)  7 Cu 2.51-2.60
Cu (0.5813, 0.0820, 0.7553)  7 Cu 2.51-2.60
Cu (0.0820, 0.5813, 0.7553)  7 Cu 2.51-2.60


Record 8
A plane-wave DFT calculation with PBE-GGA was carried out for a geometry-optimized TbHoCu3 structure.

Results
Symmetry   Cmcm (63)
Total energy   -45.5 eV per cell
Formation enthalpy at 0 K   -0.252 eV/atom

Cell lengths 3.6097, 4.2850, 12.8633 Å; angles 90.00, 98.07, 90.00 degrees
Last column: nearest neighbours and their distance in Å.
Element x y z (fractional)
Tb (0.9286, 0.7500, 0.8572)  12 Cu 3.01-3.13
Tb (0.0714, 0.2500, 0.1428)  12 Cu 3.01-3.13
Ho (0.2042, 0.7500, 0.4085)  7 Cu 2.84-3.15
Ho (0.7958, 0.2500, 0.5915)  7 Cu 2.84-3.15
Cu (0.6183, 0.7500, 0.2367)  3 Cu 2.43-2.54
Cu (0.3817, 0.2500, 0.7633)  3 Cu 2.43-2.54
Cu (0.5230, 0.7500, 0.0460)  3 Cu 2.43-2.44
Cu (0.4770, 0.2500, 0.9540)  3 Cu 2.43-2.44
Cu (0.6719, 0.2500, 0.3438)  2 Cu 2.54
Cu (0.3281, 0.7500, 0.6562)  2 Cu 2.54


Q: formation enthalpy at 0 K of number 2 (TbHo2Cu9)?
A: -0.207 eV/atom